TlSe2Br8 | PBE | relaxed

Summary:
As for the total energy: -0.1644 Ry per atom. The value obtained for the density of states at the Fermi level is 3.802 states/eV per cell. Its theoretical density is 3.95 Mg/m³.

Cell and atoms, written as CIF:
```
data_TlSe2Br8
_cell_length_a 12.628
_cell_length_b 8.472
_cell_length_c 8.972
_cell_angle_alpha 90.00
_cell_angle_beta 118.68
_cell_angle_gamma 90.00
_symmetry_space_group_name_H-M 'C 1 2/m 1'
_symmetry_Int_Tables_number 12
loop_
_symmetry_equiv_pos_as_xyz
'x,y,z'
'-x,-y,-z'
'-x,y,-z'
'x,-y,z'
'x+1/2,y+1/2,z'
'-x+1/2,-y+1/2,-z'
'-x+1/2,y+1/2,-z'
'x+1/2,-y+1/2,z'
loop_
_atom_site_label
_atom_site_type_symbol
_atom_site_fract_x
_atom_site_fract_y
_atom_site_fract_z
_atom_site_occupancy
Tl1 Tl 0.000 0.000 0.000 1
Se1 Se 0.146 0.000 0.643 1
Br1 Br 0.103 0.236 0.767 1
Br2 Br 0.112 0.500 0.121 1
Br3 Br 0.208 0.000 0.411 1
```

=====

Tb3Ga7Os2 | PBE | relaxed

Summary:
As for the total energy: -0.3694 Ry per atom. The value obtained for the density of states at the Fermi level is 10.861 states/eV per cell. Its theoretical density is 8.63 Mg/m³.

Cell and atoms, written as CIF:
```
data_Tb3Ga7Os2
_cell_length_a 4.622
_cell_length_b 4.622
_cell_length_c 24.242
_cell_angle_alpha 90.00
_cell_angle_beta 90.00
_cell_angle_gamma 90.00
_symmetry_space_group_name_H-M 'I 4/m m m'
_symmetry_Int_Tables_number 139
_symmetry_space_group_name_Hall '-I 4 2'
loop_
_atom_site_label
_atom_site_type_symbol
_atom_site_fract_x
_atom_site_fract_y
_atom_site_fract_z
_atom_site_occupancy
Tb1 Tb 0.000 0.000 0.000 1
Tb2 Tb 0.000 0.000 0.168 1
Ga1 Ga 0.000 0.000 0.288 1
Ga2 Ga 0.000 0.000 0.500 1
Ga3 Ga 0.000 0.500 0.083 1
Os1 Os 0.000 0.000 0.387 1
```

=====

NbAuI2O | PBE | relaxed

Summary:
As for the total energy: -0.2631 Ry per atom. The value obtained for the density of states at the Fermi level is 6.688 states/eV per cell. Its theoretical density is 7.16 Mg/m³. Its excess energy over the best structure of this formula in the dataset is 1128 meV/atom.

Cell and atoms, written as CIF:
```
data_NbAuI2O
_cell_length_a 5.737
_cell_length_b 5.737
_cell_length_c 3.945
_cell_angle_alpha 90.00
_cell_angle_beta 90.00
_cell_angle_gamma 90.00
_symmetry_space_group_name_H-M 'P 4/m m m'
_symmetry_Int_Tables_number 123
_symmetry_space_group_name_Hall '-P 4 2'
loop_
_atom_site_label
_atom_site_type_symbol
_atom_site_fract_x
_atom_site_fract_y
_atom_site_fract_z
_atom_site_occupancy
Nb1 Nb 0.000 0.000 0.000 1
Au1 Au 0.500 0.500 0.500 1
I1 I 0.000 0.500 0.500 1
O1 O 0.500 0.500 0.000 1
```

=====

PmAlPt3 | PBE | relaxed

Summary:
As for the total energy: -0.4567 Ry per atom. The value obtained for the density of states at the Fermi level is 5.883 states/eV per cell. Its theoretical density is 12.30 Mg/m³.

Cell and atoms, written as CIF:
```
data_PmAlPt3
_cell_length_a 5.8561
_cell_length_b 5.8561
_cell_length_c 13.7700
_cell_angle_alpha 90.00
_cell_angle_beta 90.00
_cell_angle_gamma 120.00
_symmetry_space_group_name_H-M 'P 63/m m c'
_symmetry_Int_Tables_number 194
_symmetry_space_group_name_Hall '-P 6c 2c'
loop_
_atom_site_label
_atom_site_type_symbol
_atom_site_fract_x
_atom_site_fract_y
_atom_site_fract_z
_atom_site_occupancy
Pm1 Pm 0.0000 0.0000 0.0000 1
Pm2 Pm 0.3333 0.6667 0.2500 1
Al1 Al 0.3333 0.6667 0.6310 1
Pt1 Pt 0.0000 0.5000 0.0000 1
Pt2 Pt 0.1531 0.3062 0.7500 1
```

=====

Sm4As2PBr | PBE | relaxed

Summary:
As for the total energy: -0.4344 Ry per atom. The value obtained for the density of states at the Fermi level is 2.613 states/eV per cell. Its theoretical density is 6.86 Mg/m³.

Cell and atoms, written as CIF:
```
data_Sm4As2PBr
_cell_length_a 7.219
_cell_length_b 4.181
_cell_length_c 7.322
_cell_angle_alpha 90.00
_cell_angle_beta 109.22
_cell_angle_gamma 90.00
_symmetry_space_group_name_H-M 'P 1 2/m 1'
_symmetry_Int_Tables_number 10
loop_
_symmetry_equiv_pos_as_xyz
'x,y,z'
'-x,-y,-z'
'-x,y,-z'
'x,-y,z'
loop_
_atom_site_label
_atom_site_type_symbol
_atom_site_fract_x
_atom_site_fract_y
_atom_site_fract_z
_atom_site_occupancy
Sm1 Sm 0.235 0.000 0.227 1
Sm2 Sm 0.248 0.500 0.764 1
As1 As 0.000 0.000 0.500 1
As2 As 0.000 0.500 0.000 1
P1 P 0.500 0.000 0.000 1
Br1 Br 0.500 0.500 0.500 1
```

=====

NaYbPb2 | PBE | relaxed

Summary:
As for the total energy: -0.2143 Ry per atom. The value obtained for the density of states at the Fermi level is 10.959 states/eV per cell. Its theoretical density is 8.80 Mg/m³.

Cell and atoms, written as CIF:
```
data_NaYbPb2
_cell_length_a 7.724
_cell_length_b 7.724
_cell_length_c 7.724
_cell_angle_alpha 90.00
_cell_angle_beta 90.00
_cell_angle_gamma 90.00
_symmetry_space_group_name_H-M 'F m -3 m'
_symmetry_Int_Tables_number 225
_symmetry_space_group_name_Hall '-F 4 2 3'
loop_
_atom_site_label
_atom_site_type_symbol
_atom_site_fract_x
_atom_site_fract_y
_atom_site_fract_z
_atom_site_occupancy
Na1 Na 0.000 0.000 0.000 1
Yb1 Yb 0.000 0.000 0.500 1
Pb1 Pb 0.250 0.250 0.250 1
```

=====

La3AlFe | PBE | relaxed

Summary:
As for the total energy: -0.4017 Ry per atom. The value obtained for the density of states at the Fermi level is 3.928 states/eV per cell. Its theoretical density is 5.77 Mg/m³.

Cell and atoms, written as CIF:
```
data_La3AlFe
_cell_length_a 5.238
_cell_length_b 5.238
_cell_length_c 5.238
_cell_angle_alpha 90.00
_cell_angle_beta 90.00
_cell_angle_gamma 90.00
_symmetry_space_group_name_H-M 'P m -3 m'
_symmetry_Int_Tables_number 221
_symmetry_space_group_name_Hall '-P 4 2 3'
loop_
_atom_site_label
_atom_site_type_symbol
_atom_site_fract_x
_atom_site_fract_y
_atom_site_fract_z
_atom_site_occupancy
La1 La 0.000 0.000 0.500 1
Al1 Al 0.500 0.500 0.500 1
Fe1 Fe 0.000 0.000 0.000 1
```

=====

LaBe4P | PBE | relaxed

Summary:
As for the total energy: -0.2774 Ry per atom. The value obtained for the density of states at the Fermi level is 16.838 states/eV per cell. Its theoretical density is 4.00 Mg/m³.

Cell and atoms, written as CIF:
```
data_LaBe4P
_cell_length_a 6.991
_cell_length_b 6.991
_cell_length_c 6.991
_cell_angle_alpha 90.00
_cell_angle_beta 90.00
_cell_angle_gamma 90.00
_symmetry_space_group_name_H-M 'F -4 3 m'
_symmetry_Int_Tables_number 216
_symmetry_space_group_name_Hall 'F -4 2 3'
loop_
_atom_site_label
_atom_site_type_symbol
_atom_site_fract_x
_atom_site_fract_y
_atom_site_fract_z
_atom_site_occupancy
La1 La 0.000 0.000 0.000 1
Be1 Be 0.124 0.124 0.624 1
P1 P 0.250 0.250 0.250 1
```